Record 1
LuTiZn2 (PBE-GGA, relaxed); energy relative to the lowest polymorph listed for this composition = 0.00 eV per formula unit; symmetry = P4/mmm, No. 123; spin magnetization = 0.00 μB/cell
1.0
3.3202 0.0000 0.0000
0.0000 3.3202 0.0000
0.0000 0.0000 6.6147
Lu Ti Zn
1 1 2
Direct
0.0000 0.0000 0.0000 Lu
0.0000 0.0000 0.5000 Ti
0.5000 0.5000 0.2833 Zn
0.5000 0.5000 0.7167 Zn

***

Record 2
Ti3NbNi (PBE-GGA, relaxed); energy relative to the lowest polymorph listed for this composition = 1.00 eV per formula unit; symmetry = I-4m2, No. 119; spin magnetization = 0.01 μB/cell
1.0
-2.4084 2.4084 8.3581
2.4084 -2.4084 8.3581
2.4084 2.4084 -8.3581
Ti Nb Ni
6 2 2
Direct
0.1263 0.3743 0.7520 Ti
0.1895 0.1895 0.0000 Ti
0.6223 0.3743 0.2480 Ti
0.6257 0.3777 0.7520 Ti
0.6257 0.8737 0.2480 Ti
0.8105 0.8105 0.0000 Ti
0.0521 0.5521 0.5000 Nb
0.4479 0.9479 0.5000 Nb
0.5000 0.5000 0.0000 Ni
0.7500 0.2500 0.5000 Ni

***

Record 3
NaHfSn2I (PBE-GGA, relaxed); symmetry = P4/mmm, No. 123; raw formation energy = 0.42 eV per atom; spin magnetization = 0.00 μB/cell
1.0
5.4220 0.0000 0.0000
0.0000 5.4220 0.0000
0.0000 0.0000 8.6057
Na Hf Sn I
1 1 2 1
Direct
0.0000 0.0000 0.0000 Na
0.0000 0.0000 0.5000 Hf
0.0000 0.5000 0.5000 Sn
0.5000 0.0000 0.5000 Sn
0.5000 0.5000 0.0000 I

***

Record 4
CdSBr2 (PBE-GGA, relaxed); energy relative to the lowest polymorph listed for this composition = 2.55 eV per formula unit; symmetry = I-42d, No. 122; raw formation energy = 0.10 eV per atom; spin magnetization = 4.00 μB/cell
1.0
-4.0063 4.0063 3.6872
4.0063 -4.0063 3.6872
4.0063 4.0063 -3.6872
Cd S Br
2 2 4
Direct
0.0000 0.0000 0.0000 Cd
0.7500 0.2500 0.5000 Cd
0.2500 0.7500 0.5000 S
0.5000 0.5000 0.0000 S
0.0694 0.6250 0.9444 Br
0.3750 0.3194 0.4444 Br
0.6806 0.1250 0.0556 Br
0.8750 0.9306 0.5556 Br

***

Record 5
BaSi2Ag (PBE-GGA, relaxed); symmetry = I4_1/amd, No. 141; raw formation energy = -0.09 eV per atom; spin magnetization = 0.00 μB/cell
1.0
-2.4974 2.4974 8.8494
2.4974 -2.4974 8.8494
2.4974 2.4974 -8.8494
Ba Si Ag
2 4 2
Direct
0.3750 0.6250 0.7500 Ba
0.6250 0.3750 0.2500 Ba
0.0000 0.0000 0.0000 Si
0.0000 0.0000 0.5000 Si
0.0000 0.5000 0.0000 Si
0.5000 0.0000 0.5000 Si
0.1250 0.8750 0.2500 Ag
0.8750 0.1250 0.7500 Ag

***

Record 6
TaNiW2 (PBE-GGA, relaxed); energy relative to the lowest polymorph listed for this composition = 0.87 eV per formula unit; symmetry = Pmm2, No. 25; spin magnetization = 0.00 μB/cell
1.0
2.6924 0.0000 0.0000
0.0000 3.9870 0.0000
0.0000 0.0000 5.8290
Ta Ni W
1 1 2
Direct
0.0000 0.0000 0.0000 Ta
0.5000 0.5000 0.7618 Ni
0.0000 0.0000 0.5235 W
0.5000 0.5000 0.2733 W

***

Record 7
Mn3V5 (PBE-GGA, relaxed); symmetry = P4/mmm, No. 123; total DFT energy (no corrections) = -9.3786 eV per atom; spin magnetization = 0.00 μB/cell
1.0
2.8889 0.0000 0.0000
0.0000 2.8889 0.0000
0.0000 0.0000 11.7365
Mn V
3 5
Direct
0.0000 0.0000 0.0000 Mn
0.5000 0.5000 0.3770 Mn
0.5000 0.5000 0.6230 Mn
0.0000 0.0000 0.2566 V
0.0000 0.0000 0.5000 V
0.0000 0.0000 0.7434 V
0.5000 0.5000 0.1215 V
0.5000 0.5000 0.8785 V

***

Record 8
FeTcPb3 (PBE-GGA, relaxed); energy relative to the lowest polymorph listed for this composition = 0.00 eV per formula unit; symmetry = Pm-3m, No. 221; spin magnetization = 3.02 μB/cell
1.0
5.3061 0.0000 0.0000
0.0000 5.3061 0.0000
0.0000 0.0000 5.3061
Fe Tc Pb
1 1 3
Direct
0.0000 0.0000 0.0000 Fe
0.5000 0.5000 0.5000 Tc
0.0000 0.5000 0.5000 Pb
0.5000 0.0000 0.5000 Pb
0.5000 0.5000 0.0000 Pb

***

Record 9
TmCd12Ag6 (PBE-GGA, relaxed); energy relative to the lowest polymorph listed for this composition = 1.43 eV per formula unit; symmetry = R-3m, No. 166; spin magnetization = 0.00 μB/cell
1.0
6.3245 3.6514 3.0956
-6.3245 3.6514 3.0956
0.0000 -7.3029 3.0956
Tm Cd Ag
1 12 6
Direct
0.0000 0.0000 0.0000 Tm
0.1136 0.5000 0.8864 Cd
0.1136 0.8864 0.5000 Cd
0.1178 0.3645 0.3645 Cd
0.3645 0.1178 0.3645 Cd
0.3645 0.3645 0.1178 Cd
0.5000 0.1136 0.8864 Cd
0.5000 0.8864 0.1136 Cd
0.6355 0.6355 0.8822 Cd
0.6355 0.8822 0.6355 Cd
0.8822 0.6355 0.6355 Cd
0.8864 0.1136 0.5000 Cd
0.8864 0.5000 0.1136 Cd
0.2985 0.6980 0.6980 Ag
0.3020 0.3020 0.7015 Ag
0.3020 0.7015 0.3020 Ag
0.6980 0.2985 0.6980 Ag
0.6980 0.6980 0.2985 Ag
0.7015 0.3020 0.3020 Ag

***

Record 10
YMnCl3 (PBE-GGA, relaxed); energy relative to the lowest polymorph listed for this composition = 1.52 eV per formula unit; symmetry = Pm-3m, No. 221; raw formation energy = -0.68 eV per atom; spin magnetization = 3.06 μB/cell
1.0
4.9030 0.0000 0.0000
0.0000 4.9030 0.0000
0.0000 0.0000 4.9030
Y Mn Cl
1 1 3
Direct
0.0000 0.0000 0.0000 Y
0.5000 0.5000 0.5000 Mn
0.0000 0.5000 0.5000 Cl
0.5000 0.0000 0.5000 Cl
0.5000 0.5000 0.0000 Cl

***

Record 11
KCa2As (PBE-GGA, relaxed); symmetry = I-42d, No. 122; total DFT energy (no corrections) = -2.8180 eV per atom; spin magnetization = 0.00 μB/cell
1.0
-4.9180 4.9180 3.4657
4.9180 -4.9180 3.4657
4.9180 4.9180 -3.4657
K Ca As
2 4 2
Direct
0.0000 0.0000 0.0000 K
0.7500 0.2500 0.5000 K
0.2452 0.6250 0.1202 Ca
0.3750 0.4952 0.6202 Ca
0.5048 0.1250 0.8798 Ca
0.8750 0.7548 0.3798 Ca
0.2500 0.7500 0.5000 As
0.5000 0.5000 0.0000 As

***

Record 12
Ho2TmI (PBE-GGA, relaxed); energy relative to the lowest polymorph listed for this composition = 0.00 eV per formula unit; symmetry = R3m, No. 160; raw formation energy = -0.33 eV per atom; spin magnetization = 0.00 μB/cell
1.0
1.8669 1.0779 10.3077
-1.8669 1.0779 10.3077
0.0000 -2.1557 10.3077
Ho Tm I
2 1 1
Direct
0.0000 0.0000 0.0000 Ho
0.1734 0.1734 0.1734 Ho
0.7537 0.7537 0.7537 Tm
0.5868 0.5868 0.5868 I

***

Record 13
Fe6Co (PBE-GGA, relaxed); energy relative to the lowest polymorph listed for this composition = 1.49 eV per formula unit; symmetry = Fmmm, No. 69; spin magnetization = 17.26 μB/cell
1.0
0.0000 2.0583 15.1043
1.3601 0.0000 15.1043
1.3601 2.0583 0.0000
Fe Co
6 1
Direct
0.0671 0.0671 0.9329 Fe
0.2846 0.2846 0.7154 Fe
0.3643 0.3643 0.6357 Fe
0.6357 0.6357 0.3643 Fe
0.7154 0.7154 0.2846 Fe
0.9329 0.9329 0.0671 Fe
0.5000 0.5000 0.5000 Co

***

Record 14
Nb4Mo2Ru (PBE-GGA, relaxed); energy relative to the lowest polymorph listed for this composition = 6.95 eV per formula unit; symmetry = I4/mmm, No. 139; spin magnetization = 0.00 μB/cell
1.0
-2.3765 2.3765 6.4659
2.3765 -2.3765 6.4659
2.3765 2.3765 -6.4659
Nb Mo Ru
4 2 1
Direct
0.0000 0.5000 0.5000 Nb
0.1955 0.1955 0.0000 Nb
0.5000 0.0000 0.5000 Nb
0.8045 0.8045 0.0000 Nb
0.3803 0.3803 0.0000 Mo
0.6197 0.6197 0.0000 Mo
0.0000 0.0000 0.0000 Ru